(1)
# LiPmMg2Au4 (PBE, optimized geometry)
# - SG = No. 166
# - calculated formation energy (eV per atom) = -0.65
data_LiPmMg2Au4
_symmetry_space_group_name_H-M 'P 1'
_symmetry_Int_Tables_number 1
_symmetry_space_group_name_Hall 'P 1'
_cell_length_a 4.669
_cell_length_b 4.669
_cell_length_c 8.822
_cell_angle_alpha 74.65
_cell_angle_beta 74.65
_cell_angle_gamma 60.00
loop_
_atom_site_label
_atom_site_type_symbol
_atom_site_fract_x
_atom_site_fract_y
_atom_site_fract_z
Pm1 Pm 0.000 0.000 0.000
Mg1 Mg 0.761 0.761 0.716
Mg2 Mg 0.239 0.239 0.284
Li1 Li 0.500 0.500 0.500
Au1 Au 0.874 0.874 0.379
Au2 Au 0.395 0.395 0.814
Au3 Au 0.126 0.126 0.621
Au4 Au 0.605 0.605 0.186

=====

(2)
# Pu3Tc2Ru (PBE, optimized geometry)
# - SG = No. 123
# - calculated formation energy (eV per atom) = 0.18
data_Pu3Tc2Ru
_symmetry_space_group_name_H-M 'P 1'
_symmetry_Int_Tables_number 1
_symmetry_space_group_name_Hall 'P 1'
_cell_length_a 3.280
_cell_length_b 3.280
_cell_length_c 10.554
_cell_angle_alpha 90.00
_cell_angle_beta 90.00
_cell_angle_gamma 90.00
loop_
_atom_site_label
_atom_site_type_symbol
_atom_site_fract_x
_atom_site_fract_y
_atom_site_fract_z
Pu1 Pu 0.000 0.000 0.000
Pu2 Pu 0.000 0.000 0.332
Pu3 Pu 0.000 0.000 0.668
Tc1 Tc 0.500 0.500 0.862
Tc2 Tc 0.500 0.500 0.138
Ru1 Ru 0.500 0.500 0.500